First-principles (meta-GGA SCAN) data for a PBEsol-optimized structure of SbN2O2, as listed in Alexandria.

Its total magnetic moment is 5.03 Bohr magnetons per cell. Its density of states at the Fermi level is 0.34 states/eV/atom. The calculation puts the formation energy without anion corrections at 1327 meV/atom. As for the symmetry: No. 123.

abc: 3.9110 4.0909 4.0909
angles: 90.00 90.00 90.00
With the nearest neighbours (Å) after each atom.
Atoms (fractional coordinates):
Sb: 0.0000 0.0000 0.0000  2 O 1.96, 4 N 2.05
O: 0.5000 0.5000 0.5000  8 N 2.83, 4 O 2.89
O: 0.5000 0.0000 0.0000  2 Sb 1.96
N: 0.0000 0.0000 0.5000  2 Sb 2.05
N: 0.0000 0.5000 0.0000  2 Sb 2.05

First-principles (meta-GGA SCAN) data for a PBEsol-optimized structure of CdP2W, as listed in Alexandria.

Its total magnetic moment is 0.00 Bohr magnetons per cell. The calculation puts the formation energy at 0.009 eV per atom. Its density of states at the Fermi level is 0.15 states/eV/atom. Its offset from the most stable computed form is 0 meV/atom. As for the symmetry: No. 166.

abc: 3.2381 3.2381 7.6431
angles: 77.77 77.77 60.00
With the nearest neighbours (Å) after each atom.
Atoms (fractional coordinates):
Cd: 0.0000 0.0000 0.0000  6 P 2.83
P: 0.2378 0.2378 0.2866  3 W 2.45
P: 0.7622 0.7622 0.7134  3 W 2.45
W: 0.5000 0.5000 0.5000  6 P 2.45

First-principles (meta-GGA SCAN) data for a PBEsol-optimized structure of FeSbAs2Br, as listed in Alexandria.

Its total magnetic moment is 2.06 Bohr magnetons per cell. Its density of states at the Fermi level is 0.87 states/eV/atom. The calculation puts the formation energy without anion corrections at 465 meV/atom. As for the symmetry: No. 123.

abc: 4.4937 4.4937 5.0270
angles: 90.00 90.00 90.00
With the nearest neighbours (Å) after each atom.
Atoms (fractional coordinates):
Sb: 0.5000 0.5000 0.5000  4 Br 3.18, 8 As 3.37
As: 0.0000 0.5000 0.0000  2 Fe 2.25
As: 0.5000 0.0000 0.0000  2 Fe 2.25
Fe: 0.0000 0.0000 0.0000  4 As 2.25, 2 Br 2.51
Br: 0.0000 0.0000 0.5000  2 Fe 2.51

First-principles (meta-GGA SCAN) data for a PBEsol-optimized structure of CrCd3Cl, as listed in Alexandria.

Its total magnetic moment is 4.91 Bohr magnetons per cell. Its density of states at the Fermi level is 0.21 states/eV/atom. Its offset from the most stable computed form is 0 meV/atom. The calculation puts the formation energy without anion corrections at 232 meV/atom. As for the symmetry: No. 221.

abc: 5.2679 5.2679 5.2679
angles: 90.00 90.00 90.00
With the nearest neighbours (Å) after each atom.
Atoms (fractional coordinates):
Cr: 0.0000 0.0000 0.0000  6 Cd 2.63
Cl: 0.5000 0.5000 0.5000  12 Cd 3.73
Cd: 0.0000 0.5000 0.0000  2 Cr 2.63
Cd: 0.0000 0.0000 0.5000  2 Cr 2.63
Cd: 0.5000 0.0000 0.0000  2 Cr 2.63